Entry 1:
First-principles (PBE) data for TmCdGa2 after structural relaxation, as listed in Alexandria.

Cell and atoms, written as extended XYZ:
```
4
Lattice="4.915 0.000 0.000 2.457 4.256 0.000 2.457 1.419 4.013" Properties=species:S:1:pos:R:3 pbc="T T T"
Tm 0.000 0.000 0.000
Ga 2.457 1.419 1.003
Ga 7.372 4.256 3.010
Cd 4.915 2.837 2.006
```

Results
Energy above the lowest structure with this stoichiometry = 0.147 eV per atom
Symmetry = Fm-3m

Entry 2:
First-principles (PBE) data for YTmCdGa after structural relaxation, as listed in Alexandria.

Cell and atoms, written as extended XYZ:
```
4
Lattice="3.612 0.000 0.000 0.000 3.612 0.000 0.000 0.000 7.370" Properties=species:S:1:pos:R:3 pbc="T T T"
Y 0.000 0.000 6.205
Tm 0.000 0.000 2.740
Cd 1.806 1.806 0.838
Ga 1.806 1.806 4.427
```

Results
Energy above the lowest structure with this stoichiometry = 0.000 eV per atom
Symmetry = P4mm

Entry 3:
First-principles (PBE) data for YTmCdGa after structural relaxation, as listed in Alexandria.

Cell and atoms, written as extended XYZ:
```
4
Lattice="-1.267 -1.073 4.873 0.603 -4.776 1.824 3.682 -0.988 3.459" Properties=species:S:1:pos:R:3 pbc="T T T"
Y 2.263 -5.128 7.617
Tm 0.754 -1.709 2.539
Ga 1.509 -3.419 5.078
Cd 0.000 0.000 0.000
```

Results
Energy above the lowest structure with this stoichiometry = 0.022 eV per atom
Symmetry = F-43m

Entry 4:
First-principles (PBE) data for TmZnCdGa after structural relaxation, as listed in Alexandria.

Cell and atoms, written as extended XYZ:
```
4
Lattice="-4.817 0.535 0.078 -2.657 -2.439 3.238 -2.118 2.359 3.666" Properties=species:S:1:pos:R:3 pbc="T T T"
Zn -4.796 0.228 3.491
Tm -2.398 0.114 1.746
Ga 0.000 0.000 0.000
Cd -7.194 0.341 5.237
```

Results
Total DFT energy (no corrections) = -2.72 eV/atom
Symmetry = F-43m

Per-record spin magnetization, μB per formula unit: 0.00 0.00 0.00 0.00